Record 1
AcAgSbH | GGA-PBE | relaxed

abc: 4.5780 4.5780 8.3085
angles: 90.00 90.00 90.00
Element x y z (fractional)
Ac 0.0000 0.5000 0.3474
Ac 0.5000 0.0000 0.6526
Ag 0.0000 0.0000 0.0000
Ag 0.5000 0.5000 0.0000
Sb 0.5000 0.0000 0.2129
Sb 0.0000 0.5000 0.7871
H 0.5000 0.5000 0.5000
H 0.0000 0.0000 0.5000

electronic total energy: -4.27 eV/atom
SG: No. 129



Record 2
SmBeGePt3 | GGA-PBE | relaxed

abc: 5.5914 6.4243 6.7717
angles: 118.32 90.00 90.00
Element x y z (fractional)
Ge 0.2500 0.3713 0.7426
Ge 0.7500 0.6287 0.2574
Sm 0.2500 0.7239 0.4478
Sm 0.7500 0.2761 0.5522
Pt 0.0000 0.2739 0.0000
Pt 0.5000 0.7261 0.0000
Pt 0.7500 0.8301 0.6602
Pt 0.0000 0.7261 0.0000
Pt 0.5000 0.2739 0.0000
Pt 0.2500 0.1699 0.3398
Be 0.2500 0.9777 0.9554
Be 0.7500 0.0223 0.0446

electronic total energy: -5.96 eV/atom
SG: No. 63
formation energy from the elements: -760 meV/atom



Record 3
ErGa2Ag | GGA-PBE | relaxed

abc: 4.3979 4.3979 5.4616
angles: 66.26 66.26 60.00
Element x y z (fractional)
Ga 0.2235 0.2235 0.3295
Ga 0.7765 0.7765 0.6705
Er 0.0000 0.0000 0.0000
Ag 0.5000 0.5000 0.5000

electronic total energy: -3.75 eV/atom
SG: No. 166
formation energy from the elements: -380 meV/atom